Entry from the Alexandria database: an optimized crystal structure of ZrTcC2 (PBE).

Cell lengths 5.595, 5.595, 5.595 Å; angles 90.00, 90.00, 90.00 degrees
Space group Fm-3m (No. 225)
Unique sites:
Zr  0.000  0.000  0.000 (multiplicity 4)
Tc  0.000  0.000  0.500 (multiplicity 4)
C  0.250  0.250  0.250 (multiplicity 8)

Calculated values
Calculated volume, Å³/cell: 175.16
Energy, Ry/atom: -0.653
Crystal system: cubic